Record 1
Sr2IrPt2 (PBE-GGA, relaxed); total energy = -5.30 eV/atom
1.0
6.9683 0.0000 0.0000
0.0000 6.9683 0.0000
0.0000 0.0000 4.7091
Sr Ir Pt
4 2 4
Cartesian
1.2523 4.7365 2.3546
4.7365 5.7160 2.3546
5.7160 2.2318 2.3546
2.2318 1.2523 2.3546
0.0000 0.0000 0.0000
3.4842 3.4842 0.0000
2.5520 6.0362 0.0000
6.0362 4.4163 0.0000
4.4163 0.9321 0.0000
0.9321 2.5520 0.0000

Record 2
Mn2NiSe2 (PBE-GGA, relaxed); total energy = -6.22 eV/atom; energy relative to the elements, uncorrected = 0.02 kcal/mol of atoms
1.0
-0.2431 2.5094 6.2552
-6.3155 2.1008 -1.0882
-1.2242 -3.0674 1.1830
Ni Mn Se
2 4 4
Cartesian
0.0000 0.0000 0.0000
-3.2793 2.3051 2.5835
-4.6872 0.1615 0.7701
-6.1998 1.8789 3.6580
-3.0956 1.3812 5.5799
-1.5830 -0.3362 2.6920
-5.3280 2.5759 1.1657
-4.4277 3.4907 4.4693
-1.2306 2.0343 4.0014
-2.1309 1.1195 0.6977

Record 3
ScCdRe (PBE-GGA, relaxed); total energy = -6.36 eV/atom; relative energy among the computed polymorphs = 0 meV per atom
1.0
7.4005 -0.0089 0.0069
6.6787 2.7770 0.0008
0.7218 -0.6869 2.6999
Cd Re Sc
1 1 1
Cartesian
0.7929 -0.6685 2.6856
9.7134 1.6389 0.8877
5.0166 0.4240 1.8343

Record 4
TbSmGaCu (PBE-GGA, relaxed); total energy = -4.50 eV/atom
1.0
5.0679 0.0000 0.0000
2.5339 4.3889 0.0000
2.5339 1.4630 4.1379
Cu Tb Ga Sm
1 1 1 1
Cartesian
2.5339 1.4630 1.0345
0.0000 0.0000 0.0000
7.6018 4.3889 3.1034
5.0679 2.9260 2.0690

Question: The highest total energy belongs to which entry?
Answer: TbSmGaCu

Copy entry 4 word for word.
TbSmGaCu (PBE-GGA, relaxed); total energy = -4.50 eV/atom
1.0
5.0679 0.0000 0.0000
2.5339 4.3889 0.0000
2.5339 1.4630 4.1379
Cu Tb Ga Sm
1 1 1 1
Cartesian
2.5339 1.4630 1.0345
0.0000 0.0000 0.0000
7.6018 4.3889 3.1034
5.0679 2.9260 2.0690

Question: Which of these has the highest total energy?
Answer: TbSmGaCu

Question: total energy of number 4 (TbSmGaCu)?
Answer: -4.50 eV/atom